The following is a meta-GGA SCAN calculation of a crystal of BiSbTe2C relaxed with PBEsol, from the Alexandria database.

Results
**Formation energy without anion corrections**: 2.11 eV per atom
**Total magnetization**: 0.15 μB/f.u.
**Density**: 5.002 Mg/m³
**Fermi-level density of states**: 0.92 states/eV per atom

Cell lengths 5.8162, 5.8162, 5.8683 Å; angles 90.00, 90.00, 90.00 degrees
Closest atoms and distances in Å follow each position.
Element x y z (fractional)
Bi (0.0000, 0.0000, 0.0000)  4 Te 2.91, 2 Sb 2.93
Sb (0.0000, 0.0000, 0.5000)  2 Bi 2.93
Te (0.0000, 0.5000, 0.0000)  2 Bi 2.91
Te (0.5000, 0.0000, 0.0000)  2 Bi 2.91
C (0.5000, 0.5000, 0.5000)  4 Sb 4.11, 8 Te 4.13

***

The following is a meta-GGA SCAN calculation of a crystal of MnAs2BrO relaxed with PBEsol, from the Alexandria database.

Results
**Formation energy without anion corrections**: 0.11 eV per atom
**Total magnetization**: 4.12 μB/f.u.
**Density**: 5.167 Mg/m³
**Fermi-level density of states**: 0.45 states/eV per atom

Cell lengths 4.0497, 4.0497, 5.8916 Å; angles 90.00, 90.00, 90.00 degrees
Closest atoms and distances in Å follow each position.
Element x y z (fractional)
Mn (0.0000, 0.0000, 0.0000)  4 Br 2.86
As (0.0000, 0.5000, 0.5000)  2 O 2.02
As (0.5000, 0.0000, 0.5000)  2 O 2.02
Br (0.5000, 0.5000, 0.0000)  4 Mn 2.86, 2 O 2.95
O (0.5000, 0.5000, 0.5000)  4 As 2.02